[1]
# AlFeMoPt PBE-GGA relaxed
# Electronic total energy = -7.31 eV/atom
data_AlFeMoPt
_cell_length_a 6.145
_cell_length_b 6.145
_cell_length_c 6.145
_cell_angle_alpha 90.00
_cell_angle_beta 90.00
_cell_angle_gamma 90.00
_symmetry_space_group_name_H-M 'F -4 3 m'
_symmetry_Int_Tables_number 216
_symmetry_space_group_name_Hall 'F -4 2 3'
loop_
_atom_site_label
_atom_site_type_symbol
_atom_site_fract_x
_atom_site_fract_y
_atom_site_fract_z
Al1 Al 0.000 0.000 0.000
Fe1 Fe 0.250 0.250 0.250
Mo1 Mo 0.250 0.250 0.750
Pt1 Pt 0.000 0.000 0.500

***

[2]
# Ta2Ir PBE-GGA relaxed
# E_form = -1.26 eV per formula unit
data_Ta2Ir
_cell_length_a 6.329
_cell_length_b 6.329
_cell_length_c 5.266
_cell_angle_alpha 90.00
_cell_angle_beta 90.00
_cell_angle_gamma 90.00
_symmetry_space_group_name_H-M 'I 4/m c m'
_symmetry_Int_Tables_number 140
_symmetry_space_group_name_Hall '-I 4 2c'
loop_
_atom_site_label
_atom_site_type_symbol
_atom_site_fract_x
_atom_site_fract_y
_atom_site_fract_z
Ta1 Ta 0.157 0.343 0.000
Ir1 Ir 0.000 0.000 0.250

***

[3]
# Ho3P2S PBE-GGA relaxed
# Electronic total energy = -6.58 eV/atom
data_Ho3P2S
_cell_length_a 3.9569
_cell_length_b 3.9569
_cell_length_c 9.6875
_cell_angle_alpha 90.00
_cell_angle_beta 90.00
_cell_angle_gamma 120.00
_symmetry_space_group_name_H-M 'P -3 m 1'
_symmetry_Int_Tables_number 164
_symmetry_space_group_name_Hall '-P 3 2"'
loop_
_atom_site_label
_atom_site_type_symbol
_atom_site_fract_x
_atom_site_fract_y
_atom_site_fract_z
Ho1 Ho 0.0000 0.0000 0.0000
Ho2 Ho 0.3333 0.6667 0.3256
P1 P 0.3333 0.6667 0.8312
S1 S 0.0000 0.0000 0.5000

***

[4]
# Ta5Al8 PBE-GGA relaxed
# Electronic total energy = -7.04 eV/atom
data_Ta5Al8
_cell_length_a 5.1787
_cell_length_b 5.1787
_cell_length_c 27.7381
_cell_angle_alpha 90.00
_cell_angle_beta 90.00
_cell_angle_gamma 120.00
_symmetry_space_group_name_H-M 'R -3 m'
_symmetry_Int_Tables_number 166
_symmetry_space_group_name_Hall '-R 3 2"'
loop_
_atom_site_label
_atom_site_type_symbol
_atom_site_fract_x
_atom_site_fract_y
_atom_site_fract_z
Ta1 Ta 0.0000 0.0000 0.0000
Ta2 Ta 0.0000 0.0000 0.1692
Ta3 Ta 0.0000 0.0000 0.3478
Al1 Al 0.0000 0.0000 0.4544
Al2 Al 0.0027 0.5013 0.4122

***

[5]
# SmGaHg PBE-GGA relaxed
# Electronic total energy = -2.78 eV/atom
data_SmGaHg
_cell_length_a 7.016
_cell_length_b 7.016
_cell_length_c 7.016
_cell_angle_alpha 90.00
_cell_angle_beta 90.00
_cell_angle_gamma 90.00
_symmetry_space_group_name_H-M 'F -4 3 m'
_symmetry_Int_Tables_number 216
_symmetry_space_group_name_Hall 'F -4 2 3'
loop_
_atom_site_label
_atom_site_type_symbol
_atom_site_fract_x
_atom_site_fract_y
_atom_site_fract_z
Sm1 Sm 0.000 0.000 0.000
Ga1 Ga 0.250 0.250 0.750
Hg1 Hg 0.250 0.250 0.250

***

[6]
# Pr3In3NiPd2 PBE-GGA relaxed
# Electronic total energy = -4.95 eV/atom
data_Pr3In3NiPd2
_cell_length_a 7.7482
_cell_length_b 7.7482
_cell_length_c 4.0483
_cell_angle_alpha 90.00
_cell_angle_beta 90.00
_cell_angle_gamma 120.00
_symmetry_space_group_name_H-M 'P -6 2 m'
_symmetry_Int_Tables_number 189
_symmetry_space_group_name_Hall 'P -6 -2'
loop_
_atom_site_label
_atom_site_type_symbol
_atom_site_fract_x
_atom_site_fract_y
_atom_site_fract_z
Pr1 Pr 0.0000 0.4087 0.0000
In1 In 0.0000 0.7586 0.5000
Ni1 Ni 0.0000 0.0000 0.0000
Pd1 Pd 0.3333 0.6667 0.5000

***

[7]
# TmTa2 PBE-GGA relaxed
# E_form = 5.02 eV per formula unit
data_TmTa2
_cell_length_a 6.567
_cell_length_b 6.567
_cell_length_c 6.567
_cell_angle_alpha 90.00
_cell_angle_beta 90.00
_cell_angle_gamma 90.00
_symmetry_space_group_name_H-M 'F m -3 m'
_symmetry_Int_Tables_number 225
_symmetry_space_group_name_Hall '-F 4 2 3'
loop_
_atom_site_label
_atom_site_type_symbol
_atom_site_fract_x
_atom_site_fract_y
_atom_site_fract_z
Tm1 Tm 0.000 0.000 0.000
Ta1 Ta 0.250 0.250 0.250

***

[8]
# Ga5IrPt PBE-GGA relaxed
# Electronic total energy = -4.46 eV/atom
data_Ga5IrPt
_cell_length_a 4.165
_cell_length_b 4.165
_cell_length_c 6.704
_cell_angle_alpha 90.00
_cell_angle_beta 90.00
_cell_angle_gamma 90.00
_symmetry_space_group_name_H-M 'P 4/m m m'
_symmetry_Int_Tables_number 123
_symmetry_space_group_name_Hall '-P 4 2'
loop_
_atom_site_label
_atom_site_type_symbol
_atom_site_fract_x
_atom_site_fract_y
_atom_site_fract_z
Ga1 Ga 0.000 0.000 0.000
Ga2 Ga 0.000 0.500 0.267
Ir1 Ir 0.500 0.500 0.000
Pt1 Pt 0.500 0.500 0.500

***

[9]
# Sm2DyZn2Si4Ni2 PBE-GGA relaxed
# Electronic total energy = -5.20 eV/atom
data_Sm2DyZn2Si4Ni2
_cell_length_a 4.048
_cell_length_b 4.075
_cell_length_c 23.886
_cell_angle_alpha 90.00
_cell_angle_beta 90.00
_cell_angle_gamma 90.00
_symmetry_space_group_name_H-M 'I m m m'
_symmetry_Int_Tables_number 71
_symmetry_space_group_name_Hall '-I 2 2'
loop_
_atom_site_label
_atom_site_type_symbol
_atom_site_fract_x
_atom_site_fract_y
_atom_site_fract_z
Sm1 Sm 0.000 0.000 0.152
Dy1 Dy 0.000 0.500 0.000
Zn1 Zn 0.000 0.000 0.401
Si1 Si 0.000 0.000 0.298
Si2 Si 0.000 0.500 0.451
Ni1 Ni 0.000 0.500 0.250

***

[10]
# CsNbAuSeS2 PBE-GGA relaxed
# Electronic total energy = -4.99 eV/atom
data_CsNbAuSeS2
_cell_length_a 3.680
_cell_length_b 16.593
_cell_length_c 10.064
_cell_angle_alpha 90.00
_cell_angle_beta 90.00
_cell_angle_gamma 90.00
_symmetry_space_group_name_H-M 'C m c m'
_symmetry_Int_Tables_number 63
_symmetry_space_group_name_Hall '-C 2c 2'
loop_
_atom_site_label
_atom_site_type_symbol
_atom_site_fract_x
_atom_site_fract_y
_atom_site_fract_z
Cs1 Cs 0.000 0.242 0.250
Nb1 Nb 0.000 0.000 0.000
Au1 Au 0.000 0.452 0.750
Se1 Se 0.000 0.070 0.750
S1 S 0.000 0.394 0.532

***

[11]
# SrAl2Ni2 PBE-GGA relaxed
# Electronic total energy = -4.43 eV/atom
data_SrAl2Ni2
_cell_length_a 4.106
_cell_length_b 4.106
_cell_length_c 10.749
_cell_angle_alpha 90.00
_cell_angle_beta 90.00
_cell_angle_gamma 90.00
_symmetry_space_group_name_H-M 'I 4/m m m'
_symmetry_Int_Tables_number 139
_symmetry_space_group_name_Hall '-I 4 2'
loop_
_atom_site_label
_atom_site_type_symbol
_atom_site_fract_x
_atom_site_fract_y
_atom_site_fract_z
Sr1 Sr 0.000 0.000 0.000
Al1 Al 0.000 0.500 0.250
Ni1 Ni 0.000 0.000 0.379

***

[12]
# PmYNp PBE-GGA relaxed
# E_form = 3.52 eV per formula unit
data_PmYNp
_cell_length_a 7.324
_cell_length_b 7.324
_cell_length_c 7.324
_cell_angle_alpha 90.00
_cell_angle_beta 90.00
_cell_angle_gamma 90.00
_symmetry_space_group_name_H-M 'F -4 3 m'
_symmetry_Int_Tables_number 216
_symmetry_space_group_name_Hall 'F -4 2 3'
loop_
_atom_site_label
_atom_site_type_symbol
_atom_site_fract_x
_atom_site_fract_y
_atom_site_fract_z
Pm1 Pm 0.000 0.000 0.000
Y1 Y 0.250 0.250 0.250
Np1 Np 0.250 0.250 0.750